Entry from Alexandria via LeMat-Bulk: crystalline Tl2CoPb at its relaxed geometry (PBE).

The value obtained for the energy above the most stable polymorph in this dataset is 0.056 eV per atom. As for the magnetization: 0.6 μB per formula unit. The formation energy comes out at 0.354 eV per atom.

The structure belongs to space group Cmmm (No. 65); the cell edges are 5.0884, 12.2661 and 3.3648 Å and the angles 90.00°, 90.00° and 90.00°. The inequivalent atoms are Tl at (0.0000, 0.1726, 0.0000), Co at (0.0000, 0.0000, 0.5000) and Pb at (0.0000, 0.5000, 0.5000).